# 1
# GGA-PBE LaZnRhN, optimized geometry
# VASP energy (eV per cell): -49.30
# Raw formation energy (eV/atom): -0.693
# M_tot (μB per formula unit): 0.00
data_LaZnRhN
_space_group_name_H-M_alt 'P 4/n m m'
_space_group_IT_number 129
_cell_length_a 3.8519
_cell_length_b 3.8519
_cell_length_c 9.3287
_cell_angle_alpha 90.00
_cell_angle_beta 90.00
_cell_angle_gamma 90.00
loop_
_space_group_symop_operation_xyz
'x,y,z'
'-x,-y,-z'
'-y+1/2,x,z'
'y+1/2,-x,-z'
'-x+1/2,-y+1/2,z'
'x+1/2,y+1/2,-z'
'y,-x+1/2,z'
'-y,x+1/2,-z'
'x+1/2,-y,-z'
'-x+1/2,y,z'
'-y,-x,-z'
'y,x,z'
'-x,y+1/2,-z'
'x,-y+1/2,z'
'y+1/2,x+1/2,-z'
'-y+1/2,-x+1/2,z'
loop_
_atom_site_label
_atom_site_type_symbol
_atom_site_fract_x
_atom_site_fract_y
_atom_site_fract_z
La1 La 0.2500 0.2500 0.1405
Zn1 Zn 0.2500 0.2500 0.6765
Rh1 Rh 0.2500 0.7500 0.5000
N1 N 0.2500 0.2500 0.8881


# 2
# GGA-PBE LaRu3N, optimized geometry
# VASP energy (eV per cell): -41.02
# Excess energy over the best structure of this formula in the dataset (meV per atom): 0
# Raw formation energy (eV/atom): 0.012
# M_tot (μB per formula unit): 0.00
data_LaRu3N
_space_group_name_H-M_alt 'P m -3 m'
_space_group_IT_number 221
_space_group_name_Hall '-P 4 2 3'
_cell_length_a 4.2350
_cell_length_b 4.2350
_cell_length_c 4.2350
_cell_angle_alpha 90.00
_cell_angle_beta 90.00
_cell_angle_gamma 90.00
loop_
_atom_site_label
_atom_site_type_symbol
_atom_site_fract_x
_atom_site_fract_y
_atom_site_fract_z
La1 La 0.0000 0.0000 0.0000
Ru1 Ru 0.0000 0.5000 0.5000
N1 N 0.5000 0.5000 0.5000


# 3
# GGA-PBE La4Ru2N, optimized geometry
# VASP energy (eV per cell): -99.05
# Raw formation energy (eV/atom): -0.420
# M_tot (μB per formula unit): 0.00
data_La4Ru2N
_space_group_name_H-M_alt 'I 4/m m m'
_space_group_IT_number 139
_space_group_name_Hall '-I 4 2'
_cell_length_a 4.9884
_cell_length_b 4.9884
_cell_length_c 13.9905
_cell_angle_alpha 90.00
_cell_angle_beta 90.00
_cell_angle_gamma 90.00
loop_
_atom_site_label
_atom_site_type_symbol
_atom_site_fract_x
_atom_site_fract_y
_atom_site_fract_z
La1 La 0.0000 0.0000 0.1923
La2 La 0.0000 0.5000 0.0000
Ru1 Ru 0.0000 0.0000 0.3650
N1 N 0.0000 0.0000 0.0000


# 4
# GGA-PBE La3Ru5N12, optimized geometry
# VASP energy (eV per cell): -1316.99
# Raw formation energy (eV/atom): -0.178
# M_tot (μB per formula unit): 0.00
data_La3Ru5N12
_space_group_name_H-M_alt 'I a -3 d'
_space_group_IT_number 230
_space_group_name_Hall '-I 4bd 2c 3'
_cell_length_a 12.9375
_cell_length_b 12.9375
_cell_length_c 12.9375
_cell_angle_alpha 90.00
_cell_angle_beta 90.00
_cell_angle_gamma 90.00
loop_
_atom_site_label
_atom_site_type_symbol
_atom_site_fract_x
_atom_site_fract_y
_atom_site_fract_z
La1 La 0.0000 0.2500 0.1250
Ru1 Ru 0.0000 0.0000 0.0000
Ru2 Ru 0.0000 0.2500 0.3750
N1 N 0.0337 0.0429 0.6493


# 5
# GGA-PBE La2Ru2N, optimized geometry
# VASP energy (eV per cell): -70.55
# Excess energy over the best structure of this formula in the dataset (meV per atom): 183
# Raw formation energy (eV/atom): 0.292
# M_tot (μB per formula unit): 0.00
data_La2Ru2N
_space_group_name_H-M_alt 'P 4/m b m'
_space_group_IT_number 127
_space_group_name_Hall '-P 4 2ab'
_cell_length_a 5.9067
_cell_length_b 5.9067
_cell_length_c 5.1549
_cell_angle_alpha 90.00
_cell_angle_beta 90.00
_cell_angle_gamma 90.00
loop_
_atom_site_label
_atom_site_type_symbol
_atom_site_fract_x
_atom_site_fract_y
_atom_site_fract_z
La1 La 0.1770 0.3230 0.0000
Ru1 Ru 0.1897 0.6897 0.5000
N1 N 0.0000 0.0000 0.5000


# 6
# GGA-PBE La2RuN3, optimized geometry
# VASP energy (eV per cell): -394.61
# Raw formation energy (eV/atom): -0.870
# M_tot (μB per formula unit): 0.00
data_La2RuN3
_space_group_name_H-M_alt 'C 1 2/c 1'
_space_group_IT_number 15
_cell_length_a 5.4263
_cell_length_b 11.3091
_cell_length_c 12.1570
_cell_angle_alpha 90.00
_cell_angle_beta 94.30
_cell_angle_gamma 90.00
loop_
_space_group_symop_operation_xyz
'x,y,z'
'-x,-y,-z'
'-x,y,-z+1/2'
'x,-y,z+1/2'
'x+1/2,y+1/2,z'
'-x+1/2,-y+1/2,-z'
'-x+1/2,y+1/2,-z+1/2'
'x+1/2,-y+1/2,z+1/2'
loop_
_atom_site_label
_atom_site_type_symbol
_atom_site_fract_x
_atom_site_fract_y
_atom_site_fract_z
La1 La 0.2274 0.2044 0.3534
La2 La 0.2389 0.1048 0.9332
Ru1 Ru 0.2108 0.4948 0.8257
N1 N 0.0000 0.0070 0.2500
N2 N 0.0000 0.3802 0.2500
N3 N 0.2034 0.3188 0.8700
N4 N 0.2450 0.0995 0.5341